[1]
Computed, not measured: Pm2YAg2Hg2 after structural relaxation at the PBE level of DFT.

Structure (POSCAR):
```
Pm2YAg2Hg2
1.0
2.442 1.410 8.848
-2.442 1.410 8.848
0.000 -2.820 8.848
Pm Y Ag Hg
2 1 2 2
Direct
0.123 0.123 0.123
0.877 0.877 0.877
0.000 0.000 0.000
0.394 0.394 0.394
0.606 0.606 0.606
0.263 0.263 0.263
0.737 0.737 0.737
```

## Properties
* space-group type: R-3m (166)


[2]
Computed, not measured: Pr2Ag2Hg after structural relaxation at the PBE level of DFT.

Structure (POSCAR):
```
Pr2Ag2Hg
1.0
4.503 -2.595 0.000
4.503 2.595 0.000
-3.005 0.000 5.376
Pr Ag Hg
2 2 1
Direct
0.222 0.222 0.167
0.778 0.778 0.833
0.413 0.413 0.739
0.587 0.587 0.261
0.000 0.000 0.500
```

## Properties
* space-group type: C2/m (12)


[3]
Computed, not measured: PrAgHg6 after structural relaxation at the PBE level of DFT.

Structure (POSCAR):
```
PrAgHg6
1.0
5.032 0.000 0.000
0.000 3.608 5.562
0.000 -3.608 5.562
Pr Ag Hg
1 1 6
Direct
0.000 0.000 0.000
0.500 0.220 0.220
0.000 0.023 0.489
0.000 0.489 0.023
0.000 0.499 0.499
0.500 0.310 0.744
0.500 0.744 0.310
0.500 0.798 0.798
```

## Properties
* space-group type: Amm2 (38)


[4]
Computed, not measured: Pr7Ag2Hg2 after structural relaxation at the PBE level of DFT.

Structure (POSCAR):
```
Pr7Ag2Hg2
1.0
3.999 -5.678 0.000
3.999 5.678 0.000
0.000 0.000 7.954
Pr Ag Hg
7 2 2
Direct
0.000 0.000 0.000
0.000 0.500 0.282
0.000 0.500 0.718
0.500 0.000 0.282
0.500 0.000 0.718
0.500 0.500 0.260
0.500 0.500 0.740
0.288 0.712 0.000
0.712 0.288 0.000
0.177 0.177 0.500
0.823 0.823 0.500
```

## Properties
* space-group type: Cmmm (65)


[5]
Computed, not measured: Pr3Ag4Hg2 after structural relaxation at the PBE level of DFT.

Structure (POSCAR):
```
Pr3Ag4Hg2
1.0
5.543 -2.462 0.000
5.543 2.462 0.000
-4.442 0.000 8.141
Pr Ag Hg
3 4 2
Direct
0.000 0.000 0.000
0.334 0.334 0.332
0.666 0.666 0.668
0.052 0.052 0.389
0.273 0.273 0.943
0.727 0.727 0.057
0.948 0.948 0.611
0.387 0.387 0.721
0.613 0.613 0.279
```

## Properties
* space-group type: C2/m (12)


[6]
Computed, not measured: PrAgHg after structural relaxation at the PBE level of DFT.

Structure (POSCAR):
```
PrAgHg
1.0
-1.960 1.960 4.935
1.960 -1.960 4.935
1.960 1.960 -4.935
Pr Ag Hg
1 1 1
Direct
0.000 0.000 0.000
0.325 0.325 0.000
0.675 0.675 0.000
```

## Properties
* space-group type: I4mm (107)


[7]
Computed, not measured: Pr4Ag3Hg5 after structural relaxation at the PBE level of DFT.

Structure (POSCAR):
```
Pr4Ag3Hg5
1.0
5.571 -2.610 0.000
5.571 2.610 0.000
-3.076 0.000 11.033
Pr Ag Hg
4 3 5
Direct
0.155 0.155 0.299
0.216 0.216 0.896
0.784 0.784 0.104
0.845 0.845 0.701
0.000 0.000 0.000
0.417 0.417 0.227
0.583 0.583 0.773
0.119 0.119 0.613
0.384 0.384 0.548
0.500 0.500 0.000
0.616 0.616 0.452
0.881 0.881 0.387
```

## Properties
* space-group type: C2/m (12)


[8]
Computed, not measured: Pr2Ag2Hg after structural relaxation at the PBE level of DFT.

Structure (POSCAR):
```
Pr2Ag2Hg
1.0
5.658 -2.380 0.000
5.658 2.380 0.000
-4.153 0.000 9.850
Pr Ag Hg
4 4 2
Direct
0.026 0.026 0.344
0.183 0.183 0.100
0.817 0.817 0.900
0.974 0.974 0.656
0.367 0.367 0.427
0.468 0.468 0.116
0.532 0.532 0.884
0.633 0.633 0.573
0.274 0.274 0.672
0.726 0.726 0.328
```

## Properties
* space-group type: C2/m (12)


[9]
Computed, not measured: PrAg2Hg3 after structural relaxation at the PBE level of DFT.

Structure (POSCAR):
```
PrAg2Hg3
1.0
4.982 0.000 0.000
-2.491 4.315 0.000
0.000 0.000 13.196
Pr Ag Hg
2 4 6
Direct
0.000 0.000 0.250
0.000 0.000 0.750
0.333 0.667 0.135
0.333 0.667 0.365
0.667 0.333 0.635
0.667 0.333 0.865
0.000 0.000 0.000
0.000 0.000 0.500
0.333 0.667 0.611
0.333 0.667 0.889
0.667 0.333 0.111
0.667 0.333 0.389
```

## Properties
* space-group type: P6_3/mmc (194)


[10]
Computed, not measured: PrAg3Hg after structural relaxation at the PBE level of DFT.

Structure (POSCAR):
```
PrAg3Hg
1.0
4.156 0.000 0.000
-0.005 4.170 0.000
-2.067 -2.077 6.732
Pr Ag Hg
1 3 1
Direct
0.000 0.000 0.000
0.237 0.738 0.475
0.595 0.595 0.192
0.737 0.236 0.473
0.387 0.387 0.772
```

## Properties
* space-group type: P1 (1)


[11]
Computed, not measured: Pr6Ag6Hg after structural relaxation at the PBE level of DFT.

Structure (POSCAR):
```
Pr6Ag6Hg
1.0
6.063 0.000 0.000
-3.032 5.251 0.000
0.000 0.000 11.017
Pr Ag Hg
6 6 1
Direct
0.000 0.000 0.176
0.000 0.000 0.824
0.333 0.667 0.000
0.333 0.667 0.500
0.667 0.333 0.000
0.667 0.333 0.500
0.000 0.500 0.258
0.000 0.500 0.742
0.500 0.000 0.258
0.500 0.000 0.742
0.500 0.500 0.258
0.500 0.500 0.742
0.000 0.000 0.500
```

## Properties
* space-group type: P6/mmm (191)


[12]
Computed, not measured: Pr4Ag3Hg after structural relaxation at the PBE level of DFT.

Structure (POSCAR):
```
Pr4Ag3Hg
1.0
3.902 0.000 0.000
0.000 4.945 0.000
0.000 0.000 11.689
Pr Ag Hg
4 3 1
Direct
0.000 0.000 0.000
0.000 0.500 0.283
0.500 0.000 0.491
0.500 0.500 0.789
0.000 0.500 0.560
0.500 0.000 0.215
0.500 0.500 0.067
0.000 0.000 0.719
```

## Properties
* space-group type: Pmm2 (25)


[13]
Computed, not measured: Pr2AgHg after structural relaxation at the PBE level of DFT.

Structure (POSCAR):
```
Pr2AgHg
1.0
5.408 0.000 0.000
0.000 5.408 0.000
0.000 0.000 3.826
Pr Ag Hg
2 1 1
Direct
0.000 0.500 0.000
0.500 0.000 0.000
0.000 0.000 0.500
0.500 0.500 0.500
```

## Properties
* space-group type: P4/mmm (123)


Sequential energy relative to the elements output: -0.24, -0.23, -0.14, -0.02, -0.34, -0.31, -0.16, -0.28, -0.21, -0.15, -0.15, -0.28, -0.36 eV per atom